A geometry-optimized PmYS2I2 structure, computed with PBE.

```
6
Lattice="4.534 0.000 0.000 0.000 4.534 0.000 0.000 0.000 9.607" Properties=species:S:1:pos:R:3 pbc="T T T"
Pm 0.000 0.000 0.000
Y 2.267 2.267 2.982
S 0.000 2.267 1.553
S 2.267 0.000 1.553
I 0.000 0.000 4.688
I 2.267 2.267 7.972
```

Volume (Å³/cell): 197.5
SG: No. 99
Magnetic moment (μB per formula unit): 0.00
Electronic total energy (eV/atom): -5.398